A plane-wave DFT calculation with PBE+U was carried out for crystalline CrHgF3 at its relaxed geometry.

Output
distance to the lowest polymorph of the same formula: 127 kJ/mol of formula units
total magnetization: 3.06 μB per cell

a = 4.1644 Å, b = 4.1644 Å, c = 4.1644 Å
α = 90.00°, β = 90.00°, γ = 90.00°
Fractional positions:
Cr 0.0000 0.0000 0.0000
Hg 0.5000 0.5000 0.5000
F 0.0000 0.0000 0.5000
F 0.0000 0.5000 0.0000
F 0.5000 0.0000 0.0000